Material: PrY2Sn
Method: DFT, PBE
State: relaxed

Cell and atoms, written as CIF:
```
data_PrY2Sn
_chemical_formula_sum 'Pr2 Y4 Sn2'
_cell_length_a 4.692
_cell_length_b 4.778
_cell_length_c 11.588
_cell_angle_alpha 90.00
_cell_angle_beta 101.62
_cell_angle_gamma 90.00
_space_group_name_H-M_alt 'P 1 21/m 1'
_space_group_IT_number 11
_space_group_name_Hall '-P 2yb'
loop_
_atom_site_label
_atom_site_type_symbol
_atom_site_fract_x
_atom_site_fract_y
_atom_site_fract_z
_atom_site_occupancy
Pr1 Pr 0.193 0.250 0.388 1
Y1 Y 0.059 0.750 0.118 1
Y2 Y 0.435 0.750 0.869 1
Sn1 Sn 0.340 0.250 0.676 1
```

As for the electronic total energy: -46.86 eV/cell. For the energy of formation from the pure elements, the calculation gives -0.43 eV/atom. The value obtained for the spin magnetization is 0.1 μB per formula unit.

***

Material: EuSbPbAu
Method: DFT, PBE
State: relaxed

Cell and atoms, written as CIF:
```
data_EuSbPbAu
_chemical_formula_sum 'Eu4 Sb4 Pb4 Au4'
_cell_length_a 7.643
_cell_length_b 7.643
_cell_length_c 7.643
_cell_angle_alpha 90.00
_cell_angle_beta 90.00
_cell_angle_gamma 90.00
_space_group_name_H-M_alt 'F -4 3 m'
_space_group_IT_number 216
_space_group_name_Hall 'F -4 2 3'
loop_
_atom_site_label
_atom_site_type_symbol
_atom_site_fract_x
_atom_site_fract_y
_atom_site_fract_z
_atom_site_occupancy
Eu1 Eu 0.000 0.000 0.000 1
Sb1 Sb 0.250 0.250 0.250 1
Pb1 Pb 0.000 0.000 0.500 1
Au1 Au 0.250 0.250 0.750 1
```

As for the electronic total energy: -93.13 eV/cell. The value obtained for the spin magnetization is 7.0 μB per formula unit. Its raw formation energy is -0.48 eV/atom.

***

Material: LiAl2Au3
Method: DFT, PBE
State: relaxed

Cell and atoms, written as CIF:
```
data_LiAl2Au3
_chemical_formula_sum 'Li4 Al8 Au12'
_cell_length_a 14.148
_cell_length_b 5.511
_cell_length_c 4.995
_cell_angle_alpha 90.00
_cell_angle_beta 94.65
_cell_angle_gamma 90.00
_space_group_name_H-M_alt 'C 1 2/c 1'
_space_group_IT_number 15
_space_group_name_Hall '-C 2yc'
loop_
_atom_site_label
_atom_site_type_symbol
_atom_site_fract_x
_atom_site_fract_y
_atom_site_fract_z
_atom_site_occupancy
Li1 Li 0.000 0.109 0.250 1
Al1 Al 0.159 0.361 0.088 1
Au1 Au 0.000 0.386 0.750 1
Au2 Au 0.168 0.136 0.597 1
```

As for the electronic total energy: -87.05 eV/cell. For the energy of formation from the pure elements, the calculation gives -0.42 eV/atom. The value obtained for the spin magnetization is 0.0 μB per formula unit.

***

Material: CaP3Pt6
Method: DFT, PBE
State: relaxed

Cell and atoms, written as CIF:
```
data_CaP3Pt6
_chemical_formula_sum 'Ca3 P9 Pt18'
_cell_length_a 6.3269
_cell_length_b 6.3269
_cell_length_c 15.4732
_cell_angle_alpha 90.00
_cell_angle_beta 90.00
_cell_angle_gamma 120.00
_space_group_name_H-M_alt 'R 3'
_space_group_IT_number 146
_space_group_name_Hall 'R 3'
loop_
_atom_site_label
_atom_site_type_symbol
_atom_site_fract_x
_atom_site_fract_y
_atom_site_fract_z
_atom_site_occupancy
Ca1 Ca 0.0000 0.0000 0.0000 1
P1 P 0.0000 0.0000 0.1941 1
P2 P 0.0000 0.0000 0.4410 1
P3 P 0.0000 0.0000 0.7113 1
Pt1 Pt 0.0418 0.4803 0.9815 1
Pt2 Pt 0.0659 0.3840 0.4876 1
```

As for the electronic total energy: -180.62 eV/cell. For the energy of formation from the pure elements, the calculation gives -0.57 eV/atom. The value obtained for the spin magnetization is 0.0 μB per formula unit.